Computed, not measured: a relaxed Li2SiRu crystal at the GGA-PBE level of DFT.

Summary:
crystal system = orthorhombic
total magnetization = 0.00 μB per cell
raw total energy = -4.702 eV per atom
Fermi-level density of states = 0.5806 states/eV/atom

Cell lengths 2.603, 4.282, 4.855 Å; angles 90.00, 90.00, 90.00 degrees
Space group Pmmm (No. 47)
Symmetry-distinct sites (fractional):
Li 0.000 0.000 0.243
Si 0.500 0.500 0.500
Ru 0.500 0.500 0.000